Record 1
# Tb2TmPt (PBE-GGA, relaxed)
data_Tb2TmPt
_space_group_name_H-M_alt 'C m c m'
_space_group_IT_number 63
_space_group_name_Hall '-C 2c 2'
_cell_length_a 3.769
_cell_length_b 12.047
_cell_length_c 9.522
_cell_angle_alpha 90.00
_cell_angle_beta 90.00
_cell_angle_gamma 90.00
loop_
_atom_site_label
_atom_site_fract_x
_atom_site_fract_y
_atom_site_fract_z
Tb1 0.000 0.136 0.064
Tm1 0.000 0.426 0.250
Pt1 0.000 0.258 0.750
# Energy relative to the lowest polymorph listed for this composition: 41.8 meV/atom
# E: -5.6186 eV/atom



Record 2
# Tb3Tm2Pt2 (PBE-GGA, relaxed)
data_Tb3Tm2Pt2
_space_group_name_H-M_alt 'C 1 2/m 1'
_space_group_IT_number 12
_cell_length_a 12.239
_cell_length_b 3.747
_cell_length_c 9.013
_cell_angle_alpha 90.00
_cell_angle_beta 115.88
_cell_angle_gamma 90.00
loop_
_space_group_symop_operation_xyz
'x,y,z'
'-x,-y,-z'
'-x,y,-z'
'x,-y,z'
'x+1/2,y+1/2,z'
'-x+1/2,-y+1/2,-z'
'-x+1/2,y+1/2,-z'
'x+1/2,-y+1/2,z'
loop_
_atom_site_label
_atom_site_fract_x
_atom_site_fract_y
_atom_site_fract_z
Tb1 0.000 0.000 0.000
Tb2 0.114 0.000 0.434
Tm1 0.166 0.500 0.814
Pt1 0.177 0.500 0.237
# E: -5.7740 eV/atom



| no. | DOS(E_F) (states/eV per cell) |
| --- | --- |
| 1 | 19.5 |
| 2 | 16.4 |